*P*
A geometry-optimized TlTePd6 structure, computed with PBE-GGA.

Structure (POSCAR):
```
TlTePd6
1.0
5.014 0.000 0.000
-0.304 5.323 0.000
-1.015 -0.064 5.336
Tl Te Pd
1 1 6
direct
0.000 0.000 0.000 Tl
0.500 0.500 0.500 Te
0.021 0.480 0.755 Pd
0.256 0.918 0.560 Pd
0.475 0.747 0.069 Pd
0.525 0.253 0.931 Pd
0.744 0.082 0.440 Pd
0.979 0.520 0.245 Pd
```

Properties
* DOS at the Fermi energy: 0.6050 states/eV per atom



*Q*
A geometry-optimized TlTePd6 structure, computed with PBE-GGA.

Structure (POSCAR):
```
TlTePd6
1.0
4.092 0.000 0.000
0.000 4.092 0.000
0.000 0.000 8.129
Tl Te Pd
1 1 6
direct
0.000 0.000 0.000 Tl
0.000 0.000 0.500 Te
0.000 0.500 0.254 Pd
0.000 0.500 0.746 Pd
0.500 0.000 0.254 Pd
0.500 0.000 0.746 Pd
0.500 0.500 0.000 Pd
0.500 0.500 0.500 Pd
```

Properties
* DOS at the Fermi energy: 0.5009 states/eV per atom



Ranked by calculated energy, most stable first: *Q*, *P*.



*P*
A geometry-optimized TlTe2Pd8 structure, computed with PBE-GGA.

Structure (POSCAR):
```
TlTe2Pd8
1.0
7.628 -2.083 0.000
7.628 2.083 0.000
-2.109 0.000 6.102
Tl Te Pd
1 2 8
direct
0.000 0.000 0.000 Tl
0.304 0.304 0.339 Te
0.696 0.696 0.661 Te
0.088 0.088 0.458 Pd
0.180 0.180 0.929 Pd
0.356 0.356 0.795 Pd
0.462 0.462 0.263 Pd
0.538 0.538 0.737 Pd
0.644 0.644 0.205 Pd
0.820 0.820 0.071 Pd
0.912 0.912 0.542 Pd
```

Properties
* DOS at the Fermi energy: 0.5183 states/eV per atom



*Q*
A geometry-optimized TlTe2Pd8 structure, computed with PBE-GGA.

Structure (POSCAR):
```
TlTe2Pd8
1.0
3.770 -6.610 0.000
3.770 6.610 0.000
-2.634 0.000 3.950
Tl Te Pd
1 2 8
direct
0.000 0.000 0.000 Tl
0.298 0.618 0.936 Te
0.618 0.298 0.936 Te
0.055 0.452 0.237 Pd
0.152 0.907 0.521 Pd
0.415 0.415 0.557 Pd
0.452 0.055 0.237 Pd
0.554 0.893 0.714 Pd
0.669 0.669 0.293 Pd
0.893 0.554 0.714 Pd
0.907 0.152 0.521 Pd
```

Properties
* DOS at the Fermi energy: 0.4665 states/eV per atom



Ranked by calculated energy, most stable first: *P*, *Q*.



*P*
A geometry-optimized TlTe3Pd structure, computed with PBE-GGA.

Structure (POSCAR):
```
TlTe3Pd
1.0
5.399 0.000 0.000
0.000 5.399 0.000
0.000 0.000 5.399
Tl Te Pd
1 3 1
direct
0.000 0.000 0.000 Tl
0.000 0.500 0.500 Te
0.500 0.000 0.500 Te
0.500 0.500 0.000 Te
0.500 0.500 0.500 Pd
```

Properties
* DOS at the Fermi energy: 1.1152 states/eV per atom



*Q*
A geometry-optimized TlTe3Pd structure, computed with PBE-GGA.

Structure (POSCAR):
```
TlTe3Pd
1.0
7.696 0.000 0.000
0.000 5.728 0.000
-3.838 0.000 6.692
Tl Te Pd
2 6 2
direct
0.167 0.250 0.334 Tl
0.833 0.750 0.666 Tl
0.151 0.250 0.825 Te
0.326 0.750 0.175 Te
0.326 0.750 0.652 Te
0.674 0.250 0.348 Te
0.674 0.250 0.825 Te
0.849 0.750 0.175 Te
0.500 0.000 0.000 Pd
0.500 0.500 0.000 Pd
```

Properties
* DOS at the Fermi energy: 0.8646 states/eV per atom



Ranked by calculated energy, most stable first: *Q*, *P*.



*P*
A geometry-optimized TmTePd6 structure, computed with PBE-GGA.

Structure (POSCAR):
```
TmTePd6
1.0
4.083 0.000 0.000
0.000 4.083 0.000
0.000 0.000 8.197
Tm Te Pd
1 1 6
direct
0.000 0.000 0.000 Tm
0.000 0.000 0.500 Te
0.000 0.500 0.251 Pd
0.000 0.500 0.749 Pd
0.500 0.000 0.251 Pd
0.500 0.000 0.749 Pd
0.500 0.500 0.000 Pd
0.500 0.500 0.500 Pd
```

Properties
* DOS at the Fermi energy: 0.5589 states/eV per atom



*Q*
A geometry-optimized TmTePd6 structure, computed with PBE-GGA.

Structure (POSCAR):
```
TmTePd6
1.0
2.746 -4.699 0.000
2.746 4.699 0.000
-1.267 0.000 5.623
Tm Te Pd
1 1 6
direct
0.000 0.000 0.000 Tm
0.000 0.000 0.500 Te
0.057 0.568 0.253 Pd
0.432 0.943 0.747 Pd
0.474 0.474 0.755 Pd
0.526 0.526 0.245 Pd
0.568 0.057 0.253 Pd
0.943 0.432 0.747 Pd
```

Properties
* DOS at the Fermi energy: 0.5949 states/eV per atom



Ranked by calculated energy, most stable first: *P*, *Q*.



*P*
A geometry-optimized Tm3Te2Pd structure, computed with PBE-GGA.

Structure (POSCAR):
```
Tm3Te2Pd
1.0
0.000 6.028 12.544
4.333 0.000 12.544
4.333 6.028 0.000
Tm Te Pd
12 8 4
direct
0.037 0.533 0.183 Tm
0.094 0.656 0.656 Tm
0.183 0.747 0.037 Tm
0.253 0.817 0.467 Tm
0.344 0.906 0.906 Tm
0.467 0.963 0.253 Tm
0.533 0.037 0.747 Tm
0.656 0.094 0.094 Tm
0.747 0.183 0.533 Tm
0.817 0.253 0.963 Tm
0.906 0.344 0.344 Tm
0.963 0.467 0.817 Tm
0.131 0.131 0.619 Te
0.296 0.296 0.454 Te
0.381 0.381 0.869 Te
0.454 0.454 0.296 Te
0.546 0.546 0.704 Te
0.619 0.619 0.131 Te
0.704 0.704 0.546 Te
0.869 0.869 0.381 Te
0.042 0.042 0.208 Pd
0.208 0.208 0.042 Pd
0.792 0.792 0.958 Pd
0.958 0.958 0.792 Pd
```

Properties
* DOS at the Fermi energy: 0.6322 states/eV per atom



*Q*
A geometry-optimized Tm3Te2Pd structure, computed with PBE-GGA.

Structure (POSCAR):
```
Tm3Te2Pd
1.0
3.005 -7.174 0.000
3.005 7.174 0.000
0.000 0.000 4.202
Tm Te Pd
3 2 1
direct
0.000 0.000 0.000 Tm
0.376 0.624 0.500 Tm
0.624 0.376 0.500 Tm
0.159 0.841 0.500 Te
0.841 0.159 0.500 Te
0.500 0.500 0.000 Pd
```

Properties
* DOS at the Fermi energy: 1.0428 states/eV per atom



Ranked by calculated energy, most stable first: *P*, *Q*.



*P*
A geometry-optimized Tm2TePd structure, computed with PBE-GGA.

Structure (POSCAR):
```
Tm2TePd
1.0
3.689 0.000 0.000
0.000 3.689 0.000
0.000 0.000 6.978
Tm Te Pd
2 1 1
direct
0.000 0.000 0.231 Tm
0.000 0.000 0.769 Tm
0.500 0.500 0.500 Te
0.500 0.500 0.000 Pd
```

Properties
* DOS at the Fermi energy: 0.7185 states/eV per atom



*Q*
A geometry-optimized Tm2TePd structure, computed with PBE-GGA.

Structure (POSCAR):
```
Tm2TePd
1.0
2.042 1.179 7.281
-2.042 1.179 7.281
0.000 -2.358 7.281
Tm Te Pd
2 1 1
direct
0.238 0.238 0.238 Tm
0.762 0.762 0.762 Tm
0.000 0.000 0.000 Te
0.500 0.500 0.500 Pd
```

Properties
* DOS at the Fermi energy: 0.5692 states/eV per atom



*R*
A geometry-optimized Tm2TePd structure, computed with PBE-GGA.

Structure (POSCAR):
```
Tm2TePd
1.0
2.071 1.196 7.149
-2.071 1.196 7.149
0.000 -2.391 7.149
Tm Te Pd
2 1 1
direct
0.000 0.000 0.000 Tm
0.195 0.195 0.195 Tm
0.765 0.765 0.765 Te
0.598 0.598 0.598 Pd
```

Properties
* DOS at the Fermi energy: 0.3237 states/eV per atom



Ranked by calculated energy, most stable first: *R*, *Q*, *P*.



*P*
A geometry-optimized VTe4Pd2 structure, computed with PBE-GGA.

Structure (POSCAR):
```
VTe4Pd2
1.0
-2.617 2.617 6.658
2.617 -2.617 6.658
2.617 2.617 -6.658
V Te Pd
1 4 2
direct
0.000 0.000 0.000 V
0.000 0.500 0.500 Te
0.208 0.208 0.000 Te
0.500 0.000 0.500 Te
0.792 0.792 0.000 Te
0.401 0.401 0.000 Pd
0.599 0.599 0.000 Pd
```

Properties
* DOS at the Fermi energy: 0.9501 states/eV per atom



*Q*
A geometry-optimized VTe4Pd2 structure, computed with PBE-GGA.

Structure (POSCAR):
```
VTe4Pd2
1.0
6.589 -2.044 0.000
6.589 2.044 0.000
-3.621 0.000 6.128
V Te Pd
1 4 2
direct
0.000 0.000 0.000 V
0.114 0.114 0.446 Te
0.376 0.376 0.042 Te
0.624 0.624 0.958 Te
0.886 0.886 0.554 Te
0.260 0.260 0.281 Pd
0.740 0.740 0.719 Pd
```

Properties
* DOS at the Fermi energy: 0.8158 states/eV per atom



Ranked by calculated energy, most stable first: *Q*, *P*.



*P*
A geometry-optimized VTePd3 structure, computed with PBE-GGA.

Structure (POSCAR):
```
VTePd3
1.0
2.974 0.000 0.000
0.000 8.487 0.000
0.000 0.000 7.237
V Te Pd
2 2 6
direct
0.250 0.250 0.016 V
0.750 0.750 0.984 V
0.250 0.250 0.387 Te
0.750 0.750 0.613 Te
0.250 0.519 0.838 Pd
0.250 0.750 0.284 Pd
0.250 0.981 0.838 Pd
0.750 0.019 0.162 Pd
0.750 0.250 0.716 Pd
0.750 0.481 0.162 Pd
```

Properties
* DOS at the Fermi energy: 0.9523 states/eV per atom



*Q*
A geometry-optimized VTePd3 structure, computed with PBE-GGA.

Structure (POSCAR):
```
VTePd3
1.0
4.912 0.000 0.000
0.000 4.912 0.000
0.000 0.000 4.912
V Te Pd
1 1 3
direct
0.000 0.000 0.000 V
0.500 0.500 0.500 Te
0.000 0.500 0.500 Pd
0.500 0.000 0.500 Pd
0.500 0.500 0.000 Pd
```

Properties
* DOS at the Fermi energy: 2.0215 states/eV per atom



Ranked by calculated energy, most stable first: *P*, *Q*.



*P*
A geometry-optimized V2Te5Pd structure, computed with PBE-GGA.

Structure (POSCAR):
```
V2Te5Pd
1.0
0.000 6.434 7.031
2.467 0.000 7.031
2.467 6.434 0.000
V Te Pd
2 5 1
direct
0.190 0.190 0.810 V
0.810 0.810 0.190 V
0.000 0.000 0.000 Te
0.204 0.467 0.533 Te
0.467 0.204 0.796 Te
0.533 0.796 0.204 Te
0.796 0.533 0.467 Te
0.500 0.500 0.500 Pd
```

Properties
* DOS at the Fermi energy: 0.7100 states/eV per atom



*Q*
A geometry-optimized V2Te5Pd structure, computed with PBE-GGA.

Structure (POSCAR):
```
V2Te5Pd
1.0
2.706 -6.775 0.000
2.706 6.775 0.000
0.000 0.000 12.796
V Te Pd
4 10 2
direct
0.151 0.849 0.560 V
0.151 0.849 0.940 V
0.849 0.151 0.060 V
0.849 0.151 0.440 V
0.043 0.957 0.113 Te
0.043 0.957 0.387 Te
0.252 0.748 0.750 Te
0.312 0.688 0.074 Te
0.312 0.688 0.426 Te
0.688 0.312 0.574 Te
0.688 0.312 0.926 Te
0.748 0.252 0.250 Te
0.957 0.043 0.613 Te
0.957 0.043 0.887 Te
0.194 0.806 0.250 Pd
0.806 0.194 0.750 Pd
```

Properties
* DOS at the Fermi energy: 0.6306 states/eV per atom



Ranked by calculated energy, most stable first: *Q*, *P*.



*P*
A geometry-optimized V2Te4Pd structure, computed with PBE-GGA.

Structure (POSCAR):
```
V2Te4Pd
1.0
5.621 -5.701 0.000
5.621 5.701 0.000
-5.597 0.000 5.675
V Te Pd
4 8 2
direct
0.000 0.000 0.000 V
0.000 0.000 0.500 V
0.000 0.500 0.000 V
0.500 0.000 0.500 V
0.226 0.245 0.983 Te
0.238 0.757 0.483 Te
0.243 0.762 0.017 Te
0.245 0.226 0.483 Te
0.755 0.774 0.517 Te
0.757 0.238 0.983 Te
0.762 0.243 0.517 Te
0.774 0.755 0.017 Te
0.375 0.625 0.750 Pd
0.625 0.375 0.250 Pd
```

Properties
* DOS at the Fermi energy: 1.3035 states/eV per atom



*Q*
A geometry-optimized V2Te4Pd structure, computed with PBE-GGA.

Structure (POSCAR):
```
V2Te4Pd
1.0
-2.591 2.591 7.634
2.591 -2.591 7.634
2.591 2.591 -7.634
V Te Pd
2 4 1
direct
0.088 0.088 0.000 V
0.912 0.912 0.000 V
0.000 0.500 0.500 Te
0.257 0.257 0.000 Te
0.500 0.000 0.500 Te
0.743 0.743 0.000 Te
0.500 0.500 0.000 Pd
```

Properties
* DOS at the Fermi energy: 0.6669 states/eV per atom



Ranked by calculated energy, most stable first: *P*, *Q*.



*P*
A geometry-optimized Y2TePd2 structure, computed with PBE-GGA.

Structure (POSCAR):
```
Y2TePd2
1.0
-2.491 2.491 5.232
2.491 -2.491 5.232
2.491 2.491 -5.232
Y Te Pd
2 1 2
direct
0.250 0.750 0.500 Y
0.750 0.250 0.500 Y
0.000 0.000 0.000 Te
0.378 0.378 0.000 Pd
0.622 0.622 0.000 Pd
```

Properties
* DOS at the Fermi energy: 0.0536 states/eV per atom



*Q*
A geometry-optimized Y2TePd2 structure, computed with PBE-GGA.

Structure (POSCAR):
```
Y2TePd2
1.0
7.696 0.000 0.000
0.000 7.696 0.000
0.000 0.000 3.838
Y Te Pd
4 2 4
direct
0.171 0.329 0.000 Y
0.329 0.829 0.000 Y
0.671 0.171 0.000 Y
0.829 0.671 0.000 Y
0.000 0.000 0.500 Te
0.500 0.500 0.500 Te
0.126 0.626 0.500 Pd
0.374 0.126 0.500 Pd
0.626 0.874 0.500 Pd
0.874 0.374 0.500 Pd
```

Properties
* DOS at the Fermi energy: 0.4012 states/eV per atom



*R*
A geometry-optimized Y2TePd2 structure, computed with PBE-GGA.

Structure (POSCAR):
```
Y2TePd2
1.0
-1.956 1.956 7.960
1.956 -1.956 7.960
1.956 1.956 -7.960
Y Te Pd
2 1 2
direct
0.120 0.120 0.000 Y
0.880 0.880 0.000 Y
0.500 0.500 0.000 Te
0.250 0.750 0.500 Pd
0.750 0.250 0.500 Pd
```

Properties
* DOS at the Fermi energy: 0.7245 states/eV per atom



Ranked by calculated energy, most stable first: *Q*, *R*, *P*.